! ErCr2CdO8, relaxed, DFT PBE+U; values from VASP
&SYSTEM
  ibrav = 0, nat = 12, ntyp = 4
/
ATOMIC_SPECIES
Er 167.26 Er.upf
Cr 52.00 Cr.upf
Cd 112.41 Cd.upf
O 16.00 O.upf
CELL_PARAMETERS angstrom
-3.600 3.600 3.131
3.600 -3.600 3.131
3.600 3.600 -3.131
ATOMIC_POSITIONS angstrom
Er 0.000 0.000 0.000
Cr 0.000 0.000 3.131
Cr 0.000 3.600 1.566
Cd 3.600 0.000 1.566
O 2.310 3.600 -1.054
O 1.291 0.000 2.078
O 0.000 2.222 0.527
O 3.600 2.310 1.054
O 0.000 4.979 0.527
O 0.000 1.291 4.185
O -1.378 3.600 2.605
O 1.378 3.600 2.605
! Uncorrected energy   -80.93 eV/f.u.
! Spin magnetization   1.00 μB per formula unit
! Mass density   5.2 g cm⁻³